(1)
ZrINO2 | GGA-PBEsol | optimized geometry

a b c (Å): 4.066 4.066 4.013
angles (deg): 90.00 90.00 90.00
Space group P4/mmm (No. 123)
Asymmetric unit:
Zr (0.000, 0.000, 0.000)
I (0.500, 0.500, 0.000)
N (0.500, 0.500, 0.500)
O (0.000, 0.500, 0.500)

Values from the calculation:
The calculation puts the calculated total energy at -5.45 eV/atom. The density of states at the Fermi level comes out at 2.54 states/eV/f.u. The raw formation energy is 528 meV/atom.

(2)
OsI3N | GGA-PBEsol | optimized geometry

a b c (Å): 4.823 4.823 4.823
angles (deg): 90.00 90.00 90.00
Space group Pm-3m (No. 221)
Asymmetric unit:
Os (0.000, 0.000, 0.000)
I (0.000, 0.500, 0.500)
N (0.500, 0.500, 0.500)

Values from the calculation:
The calculation puts the calculated total energy at -3.27 eV/atom. The density of states at the Fermi level comes out at 5.41 states/eV/f.u. The raw formation energy is 1934 meV/atom.

(3)
OsI2N | GGA-PBEsol | optimized geometry

a b c (Å): 5.477 5.477 12.027
angles (deg): 90.00 90.00 90.00
Space group I-42d (No. 122)
Asymmetric unit:
Os (0.000, 0.000, 0.000)
I (0.228, 0.250, 0.625)
N (0.000, 0.000, 0.500)

Values from the calculation:
The calculation puts the calculated total energy at -4.42 eV/atom. The density of states at the Fermi level comes out at 3.23 states/eV/f.u. The raw formation energy is 1646 meV/atom.

(4)
OsIN3 | GGA-PBEsol | optimized geometry

a b c (Å): 3.920 3.920 3.920
angles (deg): 90.00 90.00 90.00
Space group Pm-3m (No. 221)
Asymmetric unit:
Os (0.000, 0.000, 0.000)
I (0.500, 0.500, 0.500)
N (0.000, 0.500, 0.500)

Values from the calculation:
The calculation puts the calculated total energy at -5.02 eV/atom. The density of states at the Fermi level comes out at 3.46 states/eV/f.u. The raw formation energy is 2893 meV/atom.

(5)
POsI2N | GGA-PBEsol | optimized geometry

a b c (Å): 5.254 5.254 3.237
angles (deg): 90.00 90.00 90.00
Space group P4/mmm (No. 123)
Asymmetric unit:
P (0.000, 0.000, 0.000)
Os (0.500, 0.500, 0.500)
I (0.000, 0.500, 0.000)
N (0.000, 0.000, 0.500)

Values from the calculation:
The calculation puts the calculated total energy at -4.73 eV/atom. The density of states at the Fermi level comes out at 3.12 states/eV/f.u. The raw formation energy is 1284 meV/atom.

(6)
OsPdIN2 | GGA-PBEsol | optimized geometry

a b c (Å): 3.773 3.773 5.895
angles (deg): 90.00 90.00 90.00
Space group P4/mmm (No. 123)
Asymmetric unit:
Os (0.000, 0.000, 0.000)
Pd (0.500, 0.500, 0.500)
I (0.000, 0.000, 0.500)
N (0.000, 0.500, 0.000)

Values from the calculation:
The calculation puts the calculated total energy at -6.71 eV/atom. The density of states at the Fermi level comes out at 2.14 states/eV/f.u. The raw formation energy is 687 meV/atom.

(7)
OsSIN2 | GGA-PBEsol | optimized geometry

a b c (Å): 3.788 3.788 5.836
angles (deg): 90.00 90.00 90.00
Space group P4/mmm (No. 123)
Asymmetric unit:
Os (0.000, 0.000, 0.000)
S (0.500, 0.500, 0.500)
I (0.000, 0.000, 0.500)
N (0.000, 0.500, 0.000)

Values from the calculation:
The calculation puts the calculated total energy at -6.30 eV/atom. The density of states at the Fermi level comes out at 2.51 states/eV/f.u. The raw formation energy is 787 meV/atom.

(8)
OsSI2N | GGA-PBEsol | optimized geometry

a b c (Å): 5.312 5.312 3.263
angles (deg): 90.00 90.00 90.00
Space group P4/mmm (No. 123)
Asymmetric unit:
Os (0.000, 0.000, 0.000)
S (0.500, 0.500, 0.500)
I (0.000, 0.500, 0.500)
N (0.500, 0.500, 0.000)

Values from the calculation:
The calculation puts the calculated total energy at -4.15 eV/atom. The density of states at the Fermi level comes out at 3.40 states/eV/f.u. The raw formation energy is 1579 meV/atom.

(9)
OsSeI2N | GGA-PBEsol | optimized geometry

a b c (Å): 5.457 5.457 3.699
angles (deg): 90.00 90.00 90.00
Space group P4/mmm (No. 123)
Asymmetric unit:
Os (0.000, 0.000, 0.000)
Se (0.500, 0.500, 0.500)
I (0.000, 0.500, 0.000)
N (0.000, 0.000, 0.500)

Values from the calculation:
The calculation puts the calculated total energy at -5.05 eV/atom. The density of states at the Fermi level comes out at 3.73 states/eV/f.u. The raw formation energy is 577 meV/atom.

(10)
TaOsI2N | GGA-PBEsol | optimized geometry

a b c (Å): 5.499 5.499 3.827
angles (deg): 90.00 90.00 90.00
Space group P4/mmm (No. 123)
Asymmetric unit:
Ta (0.000, 0.000, 0.000)
Os (0.500, 0.500, 0.500)
I (0.000, 0.500, 0.000)
N (0.000, 0.000, 0.500)

Values from the calculation:
The calculation puts the calculated total energy at -6.06 eV/atom. The density of states at the Fermi level comes out at 7.19 states/eV/f.u. The raw formation energy is 1308 meV/atom.

(11)
Te2OsIN | GGA-PBEsol | optimized geometry

a b c (Å): 5.568 5.568 3.747
angles (deg): 90.00 90.00 90.00
Space group P4/mmm (No. 123)
Asymmetric unit:
Te (0.000, 0.500, 0.000)
Os (0.000, 0.000, 0.500)
I (0.500, 0.500, 0.000)
N (0.500, 0.500, 0.500)

Values from the calculation:
The calculation puts the calculated total energy at -3.75 eV/atom. For the energy relative to the lowest polymorph listed for this composition, the calculation gives 681.0 meV per atom. The density of states at the Fermi level comes out at 4.13 states/eV/f.u. The raw formation energy is 2166 meV/atom.

(12)
TeOsIN2 | GGA-PBEsol | optimized geometry

a b c (Å): 3.903 3.903 6.732
angles (deg): 90.00 90.00 90.00
Space group P4/mmm (No. 123)
Asymmetric unit:
Te (0.000, 0.000, 0.000)
Os (0.500, 0.500, 0.500)
I (0.000, 0.000, 0.500)
N (0.000, 0.500, 0.000)

Values from the calculation:
The calculation puts the calculated total energy at -4.72 eV/atom. For the energy relative to the lowest polymorph listed for this composition, the calculation gives 1362.6 meV per atom. The density of states at the Fermi level comes out at 5.26 states/eV/f.u. The raw formation energy is 2194 meV/atom.